# 1
Computed, not measured: a geometry-optimized V2NiRh4 structure at the PBE-GGA level of DFT.

**Space-group type**: P1 (1)
**V**: 196 Å³/cell
**Relative energy among the computed polymorphs**: 0.000 eV/atom

Unit cell a=5.309 b=6.358 c=6.368 alpha=79.73 beta=73.48 gamma=73.43
Sites, in units of the cell vectors:
1 V 0.000 0.000 0.000
2 V 0.233 0.439 0.903
3 V 0.499 0.546 0.455
4 V 0.735 0.448 0.891
5 Ni 0.237 0.948 0.392
6 Ni 0.737 0.938 0.402
7 Rh 0.145 0.641 0.241
8 Rh 0.149 0.275 0.612
9 Rh 0.425 0.801 0.757
10 Rh 0.472 0.239 0.188
11 Rh 0.645 0.785 0.097
12 Rh 0.649 0.159 0.728
13 Rh 0.922 0.304 0.255
14 Rh 0.973 0.736 0.695

# 2
Computed, not measured: a geometry-optimized CdAs2Rh structure at the PBE-GGA level of DFT.

**Space-group type**: Immm (71)
**Total energy**: -4.495 eV per atom
**V**: 155 Å³/cell

Unit cell a=2.958 b=4.774 c=10.980 alpha=90.00 beta=90.00 gamma=90.00
Sites, in units of the cell vectors:
1 Cd 0.000 0.000 0.000
2 Cd 0.500 0.500 0.500
3 As 0.000 0.500 0.189
4 As 0.000 0.500 0.811
5 As 0.500 0.000 0.311
6 As 0.500 0.000 0.689
7 Rh 0.000 0.000 0.500
8 Rh 0.500 0.500 0.000

# 3
Computed, not measured: a geometry-optimized LaMnBe2C structure at the PBE-GGA level of DFT.

**Space-group type**: P4/mmm (123)
**Total energy**: -5.952 eV per atom
**V**: 68 Å³/cell

Unit cell a=4.200 b=4.200 c=3.875 alpha=90.00 beta=90.00 gamma=90.00
Sites, in units of the cell vectors:
1 La 0.000 0.000 0.000
2 Mn 0.500 0.500 0.500
3 Be 0.000 0.500 0.500
4 Be 0.500 0.000 0.500
5 C 0.500 0.500 0.000

# 4
Computed, not measured: a geometry-optimized Sr3TaIr structure at the PBE-GGA level of DFT.

**Space-group type**: Pm-3m (221)
**V**: 187 Å³/cell
**Relative energy among the computed polymorphs**: 0.827 eV/atom

Unit cell a=5.714 b=5.714 c=5.714 alpha=90.00 beta=90.00 gamma=90.00
Sites, in units of the cell vectors:
1 Sr 0.000 0.000 0.500
2 Sr 0.000 0.500 0.000
3 Sr 0.500 0.000 0.000
4 Ta 0.000 0.000 0.000
5 Ir 0.500 0.500 0.500

# 5
Computed, not measured: a geometry-optimized KMoP2 structure at the PBE-GGA level of DFT.

**Space-group type**: C2/m (12)
**V**: 171 Å³/cell
**Relative energy among the computed polymorphs**: 0.144 eV/atom

Unit cell a=7.930 b=3.277 c=6.730 alpha=90.00 beta=102.45 gamma=90.00
Sites, in units of the cell vectors:
1 K 0.000 0.000 0.000
2 K 0.500 0.500 0.000
3 Mo 0.000 0.500 0.500
4 Mo 0.500 0.000 0.500
5 P 0.228 0.000 0.632
6 P 0.272 0.500 0.368
7 P 0.728 0.500 0.632
8 P 0.772 0.000 0.368

# 6
Computed, not measured: a geometry-optimized Na2Zn17 structure at the PBE-GGA level of DFT.

**Space-group type**: R-3m (166)
**Total energy**: -1.310 eV per atom
**V**: 315 Å³/cell

Unit cell a=6.849 b=6.849 c=6.849 alpha=83.01 beta=83.01 gamma=83.01
Sites, in units of the cell vectors:
1 Na 0.159 0.159 0.159
2 Na 0.841 0.841 0.841
3 Zn 0.000 0.500 0.500
4 Zn 0.151 0.151 0.655
5 Zn 0.151 0.655 0.151
6 Zn 0.199 0.500 0.801
7 Zn 0.199 0.801 0.500
8 Zn 0.345 0.849 0.849
9 Zn 0.400 0.400 0.400
10 Zn 0.500 0.000 0.500
11 Zn 0.500 0.199 0.801
12 Zn 0.500 0.500 0.000
13 Zn 0.500 0.801 0.199
14 Zn 0.600 0.600 0.600
15 Zn 0.655 0.151 0.151
16 Zn 0.801 0.199 0.500
17 Zn 0.801 0.500 0.199
18 Zn 0.849 0.345 0.849
19 Zn 0.849 0.849 0.345

# 7
Computed, not measured: a geometry-optimized Tl4ZnTc structure at the PBE-GGA level of DFT.

**Space-group type**: F-43m (216)
**Total energy**: -2.594 eV per atom
**V**: 170 Å³/cell

Unit cell a=6.214 b=6.214 c=6.214 alpha=60.00 beta=60.00 gamma=60.00
Sites, in units of the cell vectors:
1 Tl 0.125 0.125 0.125
2 Tl 0.125 0.125 0.624
3 Tl 0.125 0.624 0.125
4 Tl 0.624 0.125 0.125
5 Zn 0.750 0.750 0.750
6 Tc 0.500 0.500 0.500

# 8
Computed, not measured: a geometry-optimized ZnSi2Mo structure at the PBE-GGA level of DFT.

**Space-group type**: P4/mmm (123)
**ΔE_f (raw)**: 21 kJ per mole of atoms
**V**: 60 Å³/cell

Unit cell a=2.772 b=2.772 c=7.846 alpha=90.00 beta=90.00 gamma=90.00
Sites, in units of the cell vectors:
1 Zn 0.000 0.000 0.000
2 Si 0.500 0.500 0.264
3 Si 0.500 0.500 0.736
4 Mo 0.000 0.000 0.500

# 9
Computed, not measured: a geometry-optimized Pu3Pa3IrPt2 structure at the PBE-GGA level of DFT.

**Space-group type**: P-62m (189)
**Total energy**: -10.752 eV per atom
**V**: 211 Å³/cell

Unit cell a=7.831 b=7.831 c=3.980 alpha=90.00 beta=90.00 gamma=120.00
Sites, in units of the cell vectors:
1 Pu 0.000 0.590 0.000
2 Pu 0.410 0.410 0.000
3 Pu 0.590 0.000 0.000
4 Pa 0.000 0.265 0.500
5 Pa 0.265 0.000 0.500
6 Pa 0.735 0.735 0.500
7 Ir 0.000 0.000 0.000
8 Pt 0.333 0.667 0.500
9 Pt 0.667 0.333 0.500

# 10
Computed, not measured: a geometry-optimized VMoIr structure at the PBE-GGA level of DFT.

**Space-group type**: P4/nmm (129)
**V**: 89 Å³/cell
**Relative energy among the computed polymorphs**: 0.002 eV/atom

Unit cell a=3.107 b=3.107 c=9.214 alpha=90.00 beta=90.00 gamma=90.00
Sites, in units of the cell vectors:
1 V 0.250 0.250 0.242
2 V 0.750 0.750 0.758
3 Mo 0.250 0.250 0.582
4 Mo 0.750 0.750 0.418
5 Ir 0.250 0.250 0.894
6 Ir 0.750 0.750 0.106

# 11
Computed, not measured: a geometry-optimized TaTeW2 structure at the PBE-GGA level of DFT.

**Space-group type**: C2/m (12)
**ΔE_f (raw)**: 64 kJ per mole of atoms
**V**: 145 Å³/cell

Unit cell a=5.476 b=9.512 c=2.981 alpha=90.00 beta=110.77 gamma=90.00
Sites, in units of the cell vectors:
1 Ta 0.000 0.000 0.000
2 Ta 0.500 0.500 0.000
3 Te 0.000 0.500 0.000
4 Te 0.500 0.000 0.000
5 W 0.250 0.250 0.500
6 W 0.250 0.750 0.500
7 W 0.750 0.250 0.500
8 W 0.750 0.750 0.500

# 12
Computed, not measured: a geometry-optimized Cu2RuCl structure at the PBE-GGA level of DFT.

**Space-group type**: P4/mmm (123)
**ΔE_f (raw)**: 70 kJ per mole of atoms
**V**: 56 Å³/cell
**Relative energy among the computed polymorphs**: 0.405 eV/atom

Unit cell a=3.624 b=3.624 c=4.301 alpha=90.00 beta=90.00 gamma=90.00
Sites, in units of the cell vectors:
1 Cu 0.000 0.500 0.000
2 Cu 0.500 0.000 0.000
3 Ru 0.000 0.000 0.500
4 Cl 0.500 0.500 0.500

# 13
Computed, not measured: a geometry-optimized Na2HfCuPb structure at the PBE-GGA level of DFT.

**Space-group type**: P4/mmm (123)
**Total energy**: -2.940 eV per atom
**V**: 166 Å³/cell

Unit cell a=5.910 b=5.910 c=4.752 alpha=90.00 beta=90.00 gamma=90.00
Sites, in units of the cell vectors:
1 Na 0.000 0.500 0.000
2 Na 0.500 0.000 0.000
3 Hf 0.000 0.000 0.000
4 Cu 0.000 0.000 0.500
5 Pb 0.500 0.500 0.500

# 14
Computed, not measured: a geometry-optimized Tb4Y3Tl structure at the PBE-GGA level of DFT.

**Space-group type**: Pmn2_1 (31)
**Total energy**: -5.105 eV per atom
**V**: 492 Å³/cell

Unit cell a=11.222 b=7.067 c=6.209 alpha=90.00 beta=90.00 gamma=90.00
Sites, in units of the cell vectors:
1 Tb 0.000 0.124 0.000
2 Tb 0.000 0.870 0.463
3 Tb 0.235 0.872 0.820
4 Tb 0.265 0.128 0.320
5 Tb 0.500 0.130 0.963
6 Tb 0.500 0.876 0.500
7 Tb 0.735 0.128 0.320
8 Tb 0.765 0.872 0.820
9 Y 0.000 0.369 0.468
10 Y 0.242 0.382 0.803
11 Y 0.258 0.618 0.303
12 Y 0.500 0.631 0.968
13 Y 0.742 0.618 0.303
14 Y 0.758 0.382 0.803
15 Tl 0.000 0.617 0.983
16 Tl 0.500 0.383 0.483

# 15
Computed, not measured: a geometry-optimized PIrI2 structure at the PBE-GGA level of DFT.

**Space-group type**: Fm-3m (225)
**ΔE_f (raw)**: 123 kJ per mole of atoms
**V**: 342 Å³/cell
**Relative energy among the computed polymorphs**: 0.314 eV/atom

Unit cell a=6.992 b=6.992 c=6.992 alpha=90.00 beta=90.00 gamma=90.00
Sites, in units of the cell vectors:
1 P 0.000 0.000 0.000
2 P 0.000 0.500 0.500
3 P 0.500 0.000 0.500
4 P 0.500 0.500 0.000
5 Ir 0.000 0.000 0.500
6 Ir 0.000 0.500 0.000
7 Ir 0.500 0.000 0.000
8 Ir 0.500 0.500 0.500
9 I 0.250 0.250 0.250
10 I 0.250 0.250 0.750
11 I 0.250 0.750 0.250
12 I 0.250 0.750 0.750
13 I 0.750 0.250 0.250
14 I 0.750 0.250 0.750
15 I 0.750 0.750 0.250
16 I 0.750 0.750 0.750

# 16
Computed, not measured: a geometry-optimized Ca2LaPd structure at the PBE-GGA level of DFT.

**Space-group type**: R-3m (166)
**V**: 403 Å³/cell
**Relative energy among the computed polymorphs**: 0.269 eV/atom

Unit cell a=3.749 b=3.749 c=33.080 alpha=90.00 beta=90.00 gamma=120.00
Sites, in units of the cell vectors:
1 Ca 0.000 0.000 0.111
2 Ca 0.000 0.000 0.889
3 Ca 0.333 0.667 0.556
4 Ca 0.333 0.667 0.777
5 Ca 0.667 0.333 0.223
6 Ca 0.667 0.333 0.444
7 La 0.000 0.000 0.000
8 La 0.333 0.667 0.667
9 La 0.667 0.333 0.333
10 Pd 0.000 0.000 0.500
11 Pd 0.333 0.667 0.167
12 Pd 0.667 0.333 0.833

# 17
Computed, not measured: a geometry-optimized LaCrPb2 structure at the PBE-GGA level of DFT.

**Space-group type**: P4/mmm (123)
**Total energy**: -5.516 eV per atom
**V**: 111 Å³/cell

Unit cell a=4.850 b=4.850 c=4.699 alpha=90.00 beta=90.00 gamma=90.00
Sites, in units of the cell vectors:
1 La 0.000 0.000 0.000
2 Cr 0.500 0.500 0.000
3 Pb 0.000 0.500 0.500
4 Pb 0.500 0.000 0.500

Number 1: total magnetic moment 0.000 Bohr magnetons per cell. Number 2: total magnetic moment 0.000 Bohr magnetons per cell. Number 3: total magnetic moment 0.000 Bohr magnetons per cell. Number 4: total magnetic moment 2.538 Bohr magnetons per cell. Number 5: total magnetic moment 0.000 Bohr magnetons per cell. Number 6: total magnetic moment 0.000 Bohr magnetons per cell. Number 7: total magnetic moment 3.425 Bohr magnetons per cell. Number 8: total magnetic moment 0.000 Bohr magnetons per cell. Number 9: total magnetic moment 20.071 Bohr magnetons per cell. Number 10: total magnetic moment 0.000 Bohr magnetons per cell. Number 11: total magnetic moment 0.000 Bohr magnetons per cell. Number 12: total magnetic moment 0.635 Bohr magnetons per cell. Number 13: total magnetic moment 0.000 Bohr magnetons per cell. Number 14: total magnetic moment 0.000 Bohr magnetons per cell. Number 15: total magnetic moment 0.000 Bohr magnetons per cell. Number 16: total magnetic moment 1.069 Bohr magnetons per cell. Number 17: total magnetic moment 4.555 Bohr magnetons per cell.